First-principles (GGA-PBE) data for a relaxed MgSc2Pd3 crystal, as listed in Alexandria via LeMat-Bulk.

POSCAR file:
```
MgSc2Pd3
1.0
3.2536 0.0000 0.0000
0.0000 3.2536 0.0000
0.0000 0.0000 9.9323
Mg Sc Pd
1 2 3
Direct
0.0000 0.0000 0.0000
0.0000 0.0000 0.3277
0.0000 0.0000 0.6723
0.5000 0.5000 0.1639
0.5000 0.5000 0.5000
0.5000 0.5000 0.8361
```

* formation enthalpy at 0 K: -5.16 eV/f.u.
* SG: P4/mmm, No. 123
* DOS at the Fermi energy: 2.81 states/eV/f.u.

First-principles (GGA-PBE) data for a relaxed PmCdPd4 crystal, as listed in Alexandria via LeMat-Bulk.

POSCAR file:
```
PmCdPd4
1.0
2.1170 -6.3697 0.0000
2.1170 6.3697 0.0000
0.0000 0.0000 8.1178
Pm Cd Pd
2 2 8
Direct
0.1562 0.8438 0.7500
0.8438 0.1562 0.2500
0.1531 0.8469 0.2500
0.8469 0.1531 0.7500
0.0000 0.0000 0.0000
0.0000 0.0000 0.5000
0.3369 0.6631 0.5057
0.3369 0.6631 0.9943
0.4977 0.5023 0.7500
0.5023 0.4977 0.2500
0.6631 0.3369 0.0057
0.6631 0.3369 0.4943
```

* formation enthalpy at 0 K: -3.59 eV/f.u.
* SG: Cmcm, No. 63
* DOS at the Fermi energy: 2.04 states/eV/f.u.

Number 1: polymorph energy (0 for the lowest one) 0.0 meV/atom, total magnetic moment 0.0 μB/cell, electronic total energy -34.99 eV for the cell shown. Number 2: polymorph energy (0 for the lowest one) 41.3 meV/atom, total magnetic moment 0.0 μB/cell, electronic total energy -60.06 eV for the cell shown.